(1)
# MgTlTcSe2 | the Alexandria database | PBE-GGA | optimized geometry
# - DOS at the Fermi energy (states/eV/cell) = 4.27
# - E_form (uncorrected) (eV/atom) = 0.222
data_MgTlTcSe2
_symmetry_space_group_name_H-M 'P 4/m m m'
_symmetry_Int_Tables_number 123
_symmetry_space_group_name_Hall '-P 4 2'
_cell_length_a 4.850
_cell_length_b 4.850
_cell_length_c 5.578
_cell_angle_alpha 90.00
_cell_angle_beta 90.00
_cell_angle_gamma 90.00
loop_
_atom_site_label
_atom_site_fract_x
_atom_site_fract_y
_atom_site_fract_z
Mg1 0.000 0.000 0.000
Tl1 0.500 0.500 0.000
Tc1 0.500 0.500 0.500
Se1 0.000 0.500 0.500


(2)
# Mg2TcWSe | the Alexandria database | PBE-GGA | optimized geometry
# - DOS at the Fermi energy (states/eV/cell) = 4.55
# - E_form (uncorrected) (eV/atom) = 1.380
data_Mg2TcWSe
_symmetry_space_group_name_H-M 'P 4/m m m'
_symmetry_Int_Tables_number 123
_symmetry_space_group_name_Hall '-P 4 2'
_cell_length_a 5.251
_cell_length_b 5.251
_cell_length_c 4.674
_cell_angle_alpha 90.00
_cell_angle_beta 90.00
_cell_angle_gamma 90.00
loop_
_atom_site_label
_atom_site_fract_x
_atom_site_fract_y
_atom_site_fract_z
Mg1 0.000 0.500 0.000
Tc1 0.000 0.000 0.500
W1 0.500 0.500 0.000
Se1 0.500 0.500 0.500


(3)
# MgZnTcSe2 | the Alexandria database | PBE-GGA | optimized geometry
# - DOS at the Fermi energy (states/eV/cell) = 2.63
# - E_form (uncorrected) (eV/atom) = 0.195
data_MgZnTcSe2
_symmetry_space_group_name_H-M 'P 4/m m m'
_symmetry_Int_Tables_number 123
_symmetry_space_group_name_Hall '-P 4 2'
_cell_length_a 4.800
_cell_length_b 4.800
_cell_length_c 5.288
_cell_angle_alpha 90.00
_cell_angle_beta 90.00
_cell_angle_gamma 90.00
loop_
_atom_site_label
_atom_site_fract_x
_atom_site_fract_y
_atom_site_fract_z
Mg1 0.000 0.000 0.000
Zn1 0.500 0.500 0.000
Tc1 0.000 0.000 0.500
Se1 0.000 0.500 0.500


(4)
# Mg2TeSe | the Alexandria database | PBE-GGA | optimized geometry
# - E_form (uncorrected) (eV/atom) = -0.674
# - excess energy over the best structure of this formula in the dataset (meV/atom) = 383
data_Mg2TeSe
_symmetry_space_group_name_H-M 'I m m m'
_symmetry_Int_Tables_number 71
_symmetry_space_group_name_Hall '-I 2 2'
_cell_length_a 3.909
_cell_length_b 7.667
_cell_length_c 8.051
_cell_angle_alpha 90.00
_cell_angle_beta 90.00
_cell_angle_gamma 90.00
loop_
_atom_site_label
_atom_site_fract_x
_atom_site_fract_y
_atom_site_fract_z
Mg1 0.000 0.230 0.000
Te1 0.000 0.000 0.500
Se1 0.000 0.500 0.500


(5)
# Mg3Te2Se | the Alexandria database | PBE-GGA | optimized geometry
# - DOS at the Fermi energy (states/eV/cell) = 0.00
# - E_form (uncorrected) (eV/atom) = -0.995
data_Mg3Te2Se
_symmetry_space_group_name_H-M 'C 1 c 1'
_symmetry_Int_Tables_number 9
_symmetry_space_group_name_Hall 'C -2yc'
_cell_length_a 7.762
_cell_length_b 13.468
_cell_length_c 7.741
_cell_angle_alpha 90.00
_cell_angle_beta 109.41
_cell_angle_gamma 90.00
loop_
_atom_site_label
_atom_site_fract_x
_atom_site_fract_y
_atom_site_fract_z
Mg1 0.000 0.073 0.000
Mg2 0.470 0.084 0.478
Mg3 0.494 0.260 0.978
Te1 0.112 0.246 0.862
Te2 0.115 0.416 0.362
Se1 0.113 0.081 0.360


(6)
# Mg2TeSe | the Alexandria database | PBE-GGA | optimized geometry
# - DOS at the Fermi energy (states/eV/cell) = 1.54
# - E_form (uncorrected) (eV/atom) = -0.511
# - excess energy over the best structure of this formula in the dataset (meV/atom) = 547
data_Mg2TeSe
_symmetry_space_group_name_H-M 'P 4/m m m'
_symmetry_Int_Tables_number 123
_symmetry_space_group_name_Hall '-P 4 2'
_cell_length_a 3.535
_cell_length_b 3.535
_cell_length_c 7.364
_cell_angle_alpha 90.00
_cell_angle_beta 90.00
_cell_angle_gamma 90.00
loop_
_atom_site_label
_atom_site_fract_x
_atom_site_fract_y
_atom_site_fract_z
Mg1 0.000 0.000 0.218
Te1 0.500 0.500 0.500
Se1 0.500 0.500 0.000


(7)
# MgTe3Se | the Alexandria database | PBE-GGA | optimized geometry
# - DOS at the Fermi energy (states/eV/cell) = 11.48
# - E_form (uncorrected) (eV/atom) = 0.443
# - excess energy over the best structure of this formula in the dataset (meV/atom) = 125
data_MgTe3Se
_symmetry_space_group_name_H-M 'P m -3 m'
_symmetry_Int_Tables_number 221
_symmetry_space_group_name_Hall '-P 4 2 3'
_cell_length_a 5.374
_cell_length_b 5.374
_cell_length_c 5.374
_cell_angle_alpha 90.00
_cell_angle_beta 90.00
_cell_angle_gamma 90.00
loop_
_atom_site_label
_atom_site_fract_x
_atom_site_fract_y
_atom_site_fract_z
Mg1 0.000 0.000 0.000
Te1 0.000 0.000 0.500
Se1 0.500 0.500 0.500


(8)
# Mg2TeSe | the Alexandria database | PBE-GGA | optimized geometry
# - DOS at the Fermi energy (states/eV/cell) = 5.91
# - E_form (uncorrected) (eV/atom) = -0.088
# - excess energy over the best structure of this formula in the dataset (meV/atom) = 970
data_Mg2TeSe
_symmetry_space_group_name_H-M 'F -4 3 m'
_symmetry_Int_Tables_number 216
_symmetry_space_group_name_Hall 'F -4 2 3'
_cell_length_a 7.267
_cell_length_b 7.267
_cell_length_c 7.267
_cell_angle_alpha 90.00
_cell_angle_beta 90.00
_cell_angle_gamma 90.00
loop_
_atom_site_label
_atom_site_fract_x
_atom_site_fract_y
_atom_site_fract_z
Mg1 0.000 0.000 0.000
Mg2 0.250 0.250 0.250
Te1 0.250 0.250 0.750
Se1 0.000 0.000 0.500


(9)
# Mg2TeSe | the Alexandria database | PBE-GGA | optimized geometry
# - DOS at the Fermi energy (states/eV/cell) = 0.00
# - E_form (uncorrected) (eV/atom) = -1.058
# - excess energy over the best structure of this formula in the dataset (meV/atom) = 0
data_Mg2TeSe
_symmetry_space_group_name_H-M 'I -4 2 d'
_symmetry_Int_Tables_number 122
_symmetry_space_group_name_Hall 'I -4 2bw'
_cell_length_a 6.262
_cell_length_b 6.262
_cell_length_c 12.449
_cell_angle_alpha 90.00
_cell_angle_beta 90.00
_cell_angle_gamma 90.00
loop_
_atom_site_label
_atom_site_fract_x
_atom_site_fract_y
_atom_site_fract_z
Mg1 0.223 0.250 0.125
Te1 0.000 0.000 0.500
Se1 0.000 0.000 0.000


(10)
# MgTe2Se | the Alexandria database | PBE-GGA | optimized geometry
# - DOS at the Fermi energy (states/eV/cell) = 4.84
# - E_form (uncorrected) (eV/atom) = 0.077
data_MgTe2Se
_symmetry_space_group_name_H-M 'C m m m'
_symmetry_Int_Tables_number 65
_symmetry_space_group_name_Hall '-C 2 2'
_cell_length_a 4.051
_cell_length_b 4.914
_cell_length_c 10.969
_cell_angle_alpha 90.00
_cell_angle_beta 90.00
_cell_angle_gamma 90.00
loop_
_atom_site_label
_atom_site_fract_x
_atom_site_fract_y
_atom_site_fract_z
Mg1 0.000 0.000 0.000
Te1 0.000 0.500 0.200
Se1 0.000 0.000 0.500


(11)
# Mg2TeSe | the Alexandria database | PBE-GGA | optimized geometry
# - DOS at the Fermi energy (states/eV/cell) = 0.36
# - E_form (uncorrected) (eV/atom) = -0.627
# - excess energy over the best structure of this formula in the dataset (meV/atom) = 430
data_Mg2TeSe
_symmetry_space_group_name_H-M 'P m m m'
_symmetry_Int_Tables_number 47
_symmetry_space_group_name_Hall '-P 2 2'
_cell_length_a 3.842
_cell_length_b 3.928
_cell_length_c 8.222
_cell_angle_alpha 90.00
_cell_angle_beta 90.00
_cell_angle_gamma 90.00
loop_
_atom_site_label
_atom_site_fract_x
_atom_site_fract_y
_atom_site_fract_z
Mg1 0.000 0.000 0.000
Mg2 0.000 0.500 0.500
Te1 0.500 0.000 0.500
Se1 0.500 0.500 0.000


(12)
# Mg4TeSe3 | the Alexandria database | PBE-GGA | optimized geometry
# - DOS at the Fermi energy (states/eV/cell) = 0.00
# - E_form (uncorrected) (eV/atom) = -1.144
data_Mg4TeSe3
_symmetry_space_group_name_H-M 'R 3 m'
_symmetry_Int_Tables_number 160
_symmetry_space_group_name_Hall 'R 3 -2"'
_cell_length_a 4.3294
_cell_length_b 4.3294
_cell_length_c 42.5081
_cell_angle_alpha 90.00
_cell_angle_beta 90.00
_cell_angle_gamma 120.00
loop_
_atom_site_label
_atom_site_fract_x
_atom_site_fract_y
_atom_site_fract_z
Mg1 0.0000 0.0000 0.0000
Mg2 0.0000 0.0000 0.2405
Mg3 0.0000 0.0000 0.4935
Mg4 0.0000 0.0000 0.7467
Te1 0.0000 0.0000 0.3066
Se1 0.0000 0.0000 0.0610
Se2 0.0000 0.0000 0.5547
Se3 0.0000 0.0000 0.8078